Al2CoRu2: relaxed, GGA-PBE.

The structure in POSCAR format:
```
Al2CoRu2
1.0
3.4968 0.0000 0.0000
0.0000 3.4968 0.0000
1.7484 1.7484 6.2171
Ru Co Al
2 1 2
Direct
0.3974 0.3974 0.2052 Ru
0.6026 0.6026 0.7948 Ru
0.0000 0.0000 0.0000 Co
0.7500 0.2500 0.5000 Al
0.2500 0.7500 0.5000 Al
```

The formation energy is 29 kJ per mole of atoms. Its relative energy among the computed polymorphs is 491 meV per atom. As for the symmetry: I4/mmm, No. 139. The volume comes out at 15.2 Å³ per atom.